Computed, not measured: an optimized crystal structure of CaYGa at the GGA-PBE level of DFT.

Properties
Its energy above the most stable polymorph in this dataset is 10.3 kJ per mole of atoms.

The structure in CIF format:
```
data_CaYGa
_chemical_formula_sum 'Ca4 Y4 Ga4'
_space_group_name_H-M_alt 'C 1 2/m 1'
_space_group_IT_number 12
_cell_length_a 18.173
_cell_length_b 3.502
_cell_length_c 5.268
_cell_angle_alpha 90.00
_cell_angle_beta 94.86
_cell_angle_gamma 90.00
loop_
_space_group_symop_operation_xyz
'x,y,z'
'-x,-y,-z'
'-x,y,-z'
'x,-y,z'
'x+1/2,y+1/2,z'
'-x+1/2,-y+1/2,-z'
'-x+1/2,y+1/2,-z'
'x+1/2,-y+1/2,z'
loop_
_atom_site_label
_atom_site_type_symbol
_atom_site_fract_x
_atom_site_fract_y
_atom_site_fract_z
Ca1 Ca 0.203 0.000 0.237
Y1 Y 0.077 0.000 0.709
Ga1 Ga 0.059 0.500 0.188
```


Computed, not measured: an optimized crystal structure of CaYGa3 at the GGA-PBE level of DFT.

Properties
Its energy above the most stable polymorph in this dataset is 79.6 kJ per mole of atoms.

The structure in CIF format:
```
data_CaYGa3
_chemical_formula_sum 'Ca1 Y1 Ga3'
_space_group_name_H-M_alt 'P m -3 m'
_space_group_IT_number 221
_space_group_name_Hall '-P 4 2 3'
_cell_length_a 5.422
_cell_length_b 5.422
_cell_length_c 5.422
_cell_angle_alpha 90.00
_cell_angle_beta 90.00
_cell_angle_gamma 90.00
loop_
_atom_site_label
_atom_site_type_symbol
_atom_site_fract_x
_atom_site_fract_y
_atom_site_fract_z
Ca1 Ca 0.000 0.000 0.000
Y1 Y 0.500 0.500 0.500
Ga1 Ga 0.000 0.500 0.500
```


Computed, not measured: an optimized crystal structure of CaYGa at the GGA-PBE level of DFT.

Properties
Its energy above the most stable polymorph in this dataset is 5.8 kJ per mole of atoms.

The structure in CIF format:
```
data_CaYGa
_chemical_formula_sum 'Ca4 Y4 Ga4'
_space_group_name_H-M_alt 'C m m 2'
_space_group_IT_number 35
_cell_length_a 5.110
_cell_length_b 5.120
_cell_length_c 13.141
_cell_angle_alpha 90.00
_cell_angle_beta 90.00
_cell_angle_gamma 90.00
loop_
_space_group_symop_operation_xyz
'x,y,z'
'-x,-y,z'
'-x,y,z'
'x,-y,z'
'x+1/2,y+1/2,z'
'-x+1/2,-y+1/2,z'
'-x+1/2,y+1/2,z'
'x+1/2,-y+1/2,z'
loop_
_atom_site_label
_atom_site_type_symbol
_atom_site_fract_x
_atom_site_fract_y
_atom_site_fract_z
Ca1 Ca 0.000 0.000 0.000
Ca2 Ca 0.000 0.500 0.238
Y1 Y 0.000 0.000 0.457
Y2 Y 0.000 0.000 0.725
Ga1 Ga 0.000 0.500 0.586
Ga2 Ga 0.000 0.500 0.857
```


Computed, not measured: an optimized crystal structure of Ca2Y2Ga at the GGA-PBE level of DFT.

The structure in CIF format:
```
data_Ca2Y2Ga
_chemical_formula_sum 'Ca4 Y4 Ga2'
_space_group_name_H-M_alt 'P 4/m b m'
_space_group_IT_number 127
_space_group_name_Hall '-P 4 2ab'
_cell_length_a 7.731
_cell_length_b 7.731
_cell_length_c 5.763
_cell_angle_alpha 90.00
_cell_angle_beta 90.00
_cell_angle_gamma 90.00
loop_
_atom_site_label
_atom_site_type_symbol
_atom_site_fract_x
_atom_site_fract_y
_atom_site_fract_z
Ca1 Ca 0.164 0.336 0.000
Y1 Y 0.153 0.653 0.500
Ga1 Ga 0.000 0.000 0.500
```


Computed, not measured: an optimized crystal structure of CaYGa at the GGA-PBE level of DFT.

Properties
Its energy above the most stable polymorph in this dataset is 9.5 kJ per mole of atoms.

The structure in CIF format:
```
data_CaYGa
_chemical_formula_sum 'Ca2 Y2 Ga2'
_space_group_name_H-M_alt 'P -1'
_space_group_IT_number 2
_cell_length_a 3.606
_cell_length_b 6.867
_cell_length_c 7.356
_cell_angle_alpha 104.92
_cell_angle_beta 90.04
_cell_angle_gamma 105.22
loop_
_space_group_symop_operation_xyz
'x,y,z'
'-x,-y,-z'
loop_
_atom_site_label
_atom_site_type_symbol
_atom_site_fract_x
_atom_site_fract_y
_atom_site_fract_z
Ca1 Ca 0.139 0.277 0.073
Y1 Y 0.136 0.274 0.561
Ga1 Ga 0.496 0.991 0.251
```


Computed, not measured: an optimized crystal structure of CaYGa at the GGA-PBE level of DFT.

Properties
Its energy above the most stable polymorph in this dataset is 1.1 kJ per mole of atoms.

The structure in CIF format:
```
data_CaYGa
_chemical_formula_sum 'Ca2 Y2 Ga2'
_space_group_name_H-M_alt 'P 63/m m c'
_space_group_IT_number 194
_space_group_name_Hall '-P 6c 2c'
_cell_length_a 5.2081
_cell_length_b 5.2081
_cell_length_c 6.7229
_cell_angle_alpha 90.00
_cell_angle_beta 90.00
_cell_angle_gamma 120.00
loop_
_atom_site_label
_atom_site_type_symbol
_atom_site_fract_x
_atom_site_fract_y
_atom_site_fract_z
Ca1 Ca 0.0000 0.0000 0.0000
Y1 Y 0.3333 0.6667 0.2500
Ga1 Ga 0.3333 0.6667 0.7500
```


no.,ΔH_f (0 K) (eV/atom)
1,-0.32
2,0.24
3,-0.36
4,0.05
5,-0.32
6,-0.41